1.
VASP calculation (PBE) on a relaxed structure of Al3TeMo.

Calculated values
Energy relative to the lowest polymorph listed for this composition ... 0.0000 eV/atom
SG ... No. 221
Uncorrected formation energy ... 684 meV per atom
Total energy ... -4.36 eV per atom

Cell lengths 4.9394, 4.9394, 4.9394 Å; angles 90.00, 90.00, 90.00 degrees
Last column: nearest neighbours and their distance in Å.
Positions (direct):
Al 0.0000 0.0000 0.5000  2 Mo 2.47
Al 0.0000 0.5000 0.0000  2 Mo 2.47
Al 0.5000 0.0000 0.0000  2 Mo 2.47
Te 0.5000 0.5000 0.5000  12 Al 3.49
Mo 0.0000 0.0000 0.0000  6 Al 2.47

2.
VASP calculation (PBE) on a relaxed structure of AlTe2Mo.

Calculated values
SG ... No. 216
Uncorrected formation energy ... 724 meV per atom
Total energy ... -4.49 eV per atom

Cell lengths 4.9022, 4.9022, 4.9022 Å; angles 60.00, 60.00, 60.00 degrees
Last column: nearest neighbours and their distance in Å.
Positions (direct):
Al 0.0000 0.0000 0.0000  4 Te 3.00, 4 Mo 3.00
Te 0.5000 0.5000 0.5000  4 Mo 3.00, 4 Te 3.00
Te 0.7500 0.7500 0.7500  4 Te 3.00, 4 Al 3.00
Mo 0.2500 0.2500 0.2500  4 Te 3.00, 4 Al 3.00

3.
VASP calculation (PBE) on a relaxed structure of AlTe2Mo.

Calculated values
SG ... No. 122
Uncorrected formation energy ... 413 meV per atom
Total energy ... -4.80 eV per atom

Cell lengths 7.4482, 7.4482, 7.4482 Å; angles 129.53, 129.53, 74.15 degrees
Last column: nearest neighbours and their distance in Å.
Positions (direct):
Al 0.0000 0.0000 0.0000  4 Te 2.71
Al 0.7500 0.2500 0.5000  4 Te 2.71
Te 0.1305 0.6250 0.0055  2 Mo 2.67, 2 Al 2.71
Te 0.3750 0.3805 0.5055  2 Mo 2.67, 2 Al 2.71
Te 0.6195 0.1250 0.9945  2 Mo 2.67, 2 Al 2.71
Te 0.8750 0.8695 0.4945  2 Mo 2.67, 2 Al 2.71
Mo 0.2500 0.7500 0.5000  4 Te 2.67
Mo 0.5000 0.5000 0.0000  4 Te 2.67

Computed calculated volume (Å³/cell) in order:
120.5, 83.3, 239.6